(1)
Below is a relaxed structure of Ag2Te2F, with properties calculated at the PBE level.

abc: 4.7814 6.2470 8.9547
angles: 81.90 75.03 69.36
Element x y z (fractional)
Ag: 0.0000 0.0000 0.0000
Ag: 0.1711 0.9149 0.4056
Ag: 0.3523 0.3085 0.0333
Ag: 0.7338 0.0956 0.7144
Te: 0.1498 0.3908 0.7642
Te: 0.3152 0.8045 0.7010
Te: 0.6375 0.1768 0.2871
Te: 0.7443 0.6141 0.2239
F: 0.4976 0.6757 0.0453
F: 0.9468 0.5582 0.4110

Formation energy from raw total energies = -489.5 meV per atom
Crystal system = triclinic
Relative energy among the computed polymorphs = 2 meV per atom

***

(2)
Below is a relaxed structure of Ag2Te2F, with properties calculated at the PBE level.

abc: 6.4348 6.4926 6.5147
angles: 98.51 97.47 117.63
Element x y z (fractional)
Ag: 0.1943 0.2434 0.1366
Ag: 0.2170 0.6644 0.4135
Ag: 0.7830 0.3356 0.5865
Ag: 0.8057 0.7566 0.8634
Te: 0.2708 0.8201 0.0303
Te: 0.2819 0.4298 0.7233
Te: 0.7181 0.5702 0.2767
Te: 0.7292 0.1799 0.9697
F: 0.2854 0.1363 0.5073
F: 0.7146 0.8637 0.4927

Formation energy from raw total energies = -413.0 meV per atom
Crystal system = triclinic
Relative energy among the computed polymorphs = 78 meV per atom

***

(3)
Below is a relaxed structure of AgTeF, with properties calculated at the PBE level.

abc: 11.2415 3.2833 7.5898
angles: 90.00 107.33 90.00
Element x y z (fractional)
Ag: 0.1002 0.0000 0.3831
Ag: 0.3998 0.5000 0.6169
Ag: 0.6002 0.5000 0.3831
Ag: 0.8998 0.0000 0.6169
Te: 0.0692 0.5000 0.8702
Te: 0.4308 0.0000 0.1298
Te: 0.5692 0.0000 0.8702
Te: 0.9308 0.5000 0.1298
F: 0.1845 0.5000 0.6146
F: 0.3155 0.0000 0.3854
F: 0.6845 0.0000 0.6146
F: 0.8155 0.5000 0.3854

Formation energy from raw total energies = -738.8 meV per atom
Crystal system = monoclinic
Relative energy among the computed polymorphs = 0 meV per atom

***

| no. | D(E_F) (states/eV per cell) |
| --- | --- |
| 1 | 1.25 |
| 2 | 2.00 |
| 3 | 4.57 |